No. 1
K4CeNp3S8: relaxed, GGA-PBE.

```
K4CeNp3S8
1.0
4.116 2.377 7.364
-4.116 2.377 7.364
0.000 -4.753 7.364
K Ce Np S
4 1 3 8
Direct
0.000 0.000 0.000
0.000 0.500 0.500
0.500 0.000 0.500
0.500 0.500 0.000
0.500 0.500 0.500
0.000 0.000 0.500
0.000 0.500 0.000
0.500 0.000 0.000
0.230 0.737 0.737
0.233 0.233 0.233
0.263 0.263 0.770
0.263 0.770 0.263
0.737 0.230 0.737
0.737 0.737 0.230
0.767 0.767 0.767
0.770 0.263 0.263
```

Values from the calculation:
* magnetization: 13.00 μB/f.u.
* formation energy (no corrections): -1499.0 meV per atom

***

No. 2
HgP2W: relaxed, GGA-PBE.

```
HgP2W
1.0
3.193 0.000 0.000
0.000 3.193 0.000
0.000 0.000 7.902
Hg P W
1 2 1
Direct
0.000 0.000 0.000
0.000 0.000 0.663
0.500 0.500 0.255
0.500 0.500 0.538
```

Values from the calculation:
* magnetization: 0.00 μB/f.u.
* ΔE_f: 281 meV per atom

***

No. 3
Ho5Tc: relaxed, GGA-PBE.

```
Ho5Tc
1.0
6.059 -1.778 0.000
6.059 1.778 0.000
-3.056 0.000 7.740
Ho Tc
5 1
Direct
0.000 0.000 0.000
0.339 0.339 0.218
0.367 0.367 0.633
0.633 0.633 0.367
0.661 0.661 0.782
0.000 0.000 0.500
```

Values from the calculation:
* energy above the lowest structure with this stoichiometry: 0.00 eV per formula unit
* magnetization: 0.00 μB/f.u.
* ΔE_f: -18 meV per atom

***

No. 4
LiNdHg4: relaxed, GGA-PBE.

```
LiNdHg4
1.0
0.000 4.214 4.214
4.214 0.000 4.214
4.214 4.214 0.000
Li Nd Hg
1 1 4
Direct
0.000 0.000 0.000
0.750 0.750 0.750
0.375 0.375 0.375
0.375 0.375 0.876
0.375 0.876 0.375
0.876 0.375 0.375
```

Values from the calculation:
* energy above the lowest structure with this stoichiometry: 1.00 eV per formula unit
* magnetization: 0.00 μB/f.u.
* ΔE_f: -164 meV per atom

***

Among the records above, which one has the highest magnetization? K4CeNp3S8

***

Repeat the second record exactly.
HgP2W: relaxed, GGA-PBE.

```
HgP2W
1.0
3.193 0.000 0.000
0.000 3.193 0.000
0.000 0.000 7.902
Hg P W
1 2 1
Direct
0.000 0.000 0.000
0.000 0.000 0.663
0.500 0.500 0.255
0.500 0.500 0.538
```

Values from the calculation:
* magnetization: 0.00 μB/f.u.
* ΔE_f: 281 meV per atom